No. 1
The following is a DFT calculation (PBE-GGA) of crystalline Ac12Cd6In at its relaxed geometry.

## Properties
- symmetry = R-3
- calculated formation energy (eV/f.u.) = -1.9
- calculated density (g/cm3) = 8.393
- E_tot (eV/atom) = -3.13

Cell: 9.8395 9.8395 9.8395 Å, 110.79 110.79 110.79°
Fractional positions:
Ac 0.0825 0.1688 0.7293
Ac 0.1922 0.3387 0.4757
Ac 0.3387 0.4757 0.1922
Ac 0.2707 0.9175 0.8312
Ac 0.1688 0.7293 0.0825
Ac 0.6613 0.5243 0.8078
Ac 0.5243 0.8078 0.6613
Ac 0.8078 0.6613 0.5243
Ac 0.4757 0.1922 0.3387
Ac 0.9175 0.8312 0.2707
Ac 0.8312 0.2707 0.9175
Ac 0.7293 0.0825 0.1688
Cd 0.4127 0.6422 0.9291
Cd 0.3578 0.0709 0.5873
Cd 0.5873 0.3578 0.0709
Cd 0.6422 0.9291 0.4127
Cd 0.9291 0.4127 0.6422
Cd 0.0709 0.5873 0.3578
In 0.0000 0.0000 0.0000



No. 2
The following is a DFT calculation (PBE-GGA) of crystalline Ac2Cd2In at its relaxed geometry.

## Properties
- symmetry = C2/m
- calculated formation energy (eV/f.u.) = -1.8
- calculated density (g/cm3) = 8.131
- E_tot (eV/atom) = -2.91

Cell: 5.0479 6.5015 11.0182 Å, 86.88 76.76 67.16°
Fractional positions:
Ac 0.0853 0.7235 0.1059
Ac 0.3178 0.6995 0.6649
Ac 0.9147 0.2765 0.8941
Ac 0.6822 0.3005 0.3351
Cd 0.3664 0.1546 0.1126
Cd 0.0836 0.2762 0.5566
Cd 0.6336 0.8454 0.8874
Cd 0.9164 0.7238 0.4434
In 0.6169 0.1075 0.6586
In 0.3831 0.8925 0.3414



No. 3
The following is a DFT calculation (PBE-GGA) of crystalline Ac2Cd16In at its relaxed geometry.

## Properties
- symmetry = R3m
- calculated formation energy (eV/f.u.) = -3.6
- calculated density (g/cm3) = 8.506
- E_tot (eV/atom) = -1.53

Cell: 7.7850 7.7850 7.7850 Å, 83.03 83.03 83.03°
Fractional positions:
Cd 0.4935 0.0039 0.0039
Cd 0.7003 0.3001 0.9999
Cd 0.0987 0.0987 0.0987
Cd 0.3559 0.3559 0.8354
Cd 0.3001 0.9999 0.7003
Cd 0.9999 0.7003 0.3001
Cd 0.6443 0.6443 0.1627
Cd 0.0039 0.4935 0.0039
Cd 0.7003 0.9999 0.3001
Cd 0.3559 0.8354 0.3559
Cd 0.0039 0.0039 0.4935
Cd 0.6443 0.1627 0.6443
Cd 0.1627 0.6443 0.6443
Cd 0.8354 0.3559 0.3559
Cd 0.3001 0.7003 0.9999
Cd 0.9999 0.3001 0.7003
Ac 0.3342 0.3342 0.3342
Ac 0.6667 0.6667 0.6667
In 0.9003 0.9003 0.9003



No. 4
The following is a DFT calculation (PBE-GGA) of crystalline AcCd2In3 at its relaxed geometry.

## Properties
- symmetry = Cmcm
- calculated formation energy (eV/f.u.) = -0.6
- calculated density (g/cm3) = 7.360
- E_tot (eV/atom) = -2.45

Cell: 6.9271 7.4983 7.4983 Å, 112.70 90.00 90.00°
Fractional positions:
Ac 0.7500 0.3589 0.6411
Ac 0.2500 0.6411 0.3589
In 0.2500 0.1655 0.4756
In 0.2500 0.5244 0.8345
In 0.7500 0.8543 0.1457
In 0.7500 0.4756 0.1655
In 0.7500 0.8345 0.5244
In 0.2500 0.1457 0.8543
Cd 0.0000 0.8170 0.8170
Cd 0.5000 0.1830 0.1830
Cd 0.5000 0.8170 0.8170
Cd 0.0000 0.1830 0.1830



No. 5
The following is a DFT calculation (PBE-GGA) of crystalline AcCdIn at its relaxed geometry.

## Properties
- symmetry = P-6m2
- calculated formation energy (eV/f.u.) = -1.2
- calculated density (g/cm3) = 8.227
- E_tot (eV/atom) = -3.00

Cell: 4.0166 5.1340 5.1340 Å, 120.00 90.00 90.00°
Fractional positions:
Cd 0.1662 0.0000 0.0000
Ac 0.6668 0.3333 0.6667
In 0.1671 0.6667 0.3333



No. 6
The following is a DFT calculation (PBE-GGA) of crystalline Ac3CdIn2 at its relaxed geometry.

## Properties
- symmetry = P-3m1
- calculated formation energy (eV/f.u.) = -2.3
- calculated density (g/cm3) = 8.203
- E_tot (eV/atom) = -3.50

Cell: 5.7960 5.7960 14.2366 Å, 90.00 90.00 120.00°
Fractional positions:
Ac 0.3333 0.6667 0.4171
Ac 0.3333 0.6667 0.9169
Ac 0.6667 0.3333 0.0831
Ac 0.0000 0.0000 0.2499
Ac 0.6667 0.3333 0.5829
Ac 0.0000 0.0000 0.7501
In 0.0000 0.0000 0.0000
In 0.3333 0.6667 0.1700
In 0.6667 0.3333 0.8300
In 0.0000 0.0000 0.5000
Cd 0.3333 0.6667 0.6681
Cd 0.6667 0.3333 0.3319



No. 7
The following is a DFT calculation (PBE-GGA) of crystalline Ac3Cd3In2 at its relaxed geometry.

## Properties
- symmetry = Cmcm
- calculated formation energy (eV/f.u.) = -3.1
- calculated density (g/cm3) = 8.198
- E_tot (eV/atom) = -2.95

Cell: 5.0434 6.5047 16.7163 Å, 90.00 90.00 112.81°
Fractional positions:
Cd 0.6154 0.2308 0.0346
Cd 0.6154 0.2308 0.4654
Cd 0.6571 0.3141 0.7500
Cd 0.3846 0.7692 0.5346
Cd 0.3429 0.6859 0.2500
Cd 0.3846 0.7692 0.9654
Ac 0.0921 0.1842 0.6077
Ac 0.0921 0.1842 0.8923
Ac 0.3712 0.7423 0.7500
Ac 0.9079 0.8158 0.1077
Ac 0.6288 0.2577 0.2500
Ac 0.9079 0.8158 0.3923
In 0.7973 0.5946 0.6021
In 0.7973 0.5946 0.8979
In 0.2027 0.4054 0.1021
In 0.2027 0.4054 0.3979



No. 8
The following is a DFT calculation (PBE-GGA) of crystalline AcCd2In at its relaxed geometry.

## Properties
- symmetry = Cmcm
- calculated formation energy (eV/f.u.) = -1.5
- calculated density (g/cm3) = 8.391
- E_tot (eV/atom) = -2.54

Cell: 5.1149 6.3982 7.4764 Å, 90.00 90.00 113.56°
Fractional positions:
Ac 0.9045 0.8090 0.2500
Ac 0.0955 0.1910 0.7500
In 0.2003 0.4006 0.2500
In 0.7997 0.5994 0.7500
Cd 0.6194 0.2388 0.0539
Cd 0.3806 0.7612 0.5539
Cd 0.3806 0.7612 0.9461
Cd 0.6194 0.2388 0.4461



No. 9
The following is a DFT calculation (PBE-GGA) of crystalline AcCd10In2 at its relaxed geometry.

## Properties
- symmetry = Fmmm
- calculated formation energy (eV/f.u.) = -1.4
- calculated density (g/cm3) = 8.152
- E_tot (eV/atom) = -1.55

Cell: 6.4927 7.6942 7.8155 Å, 79.91 65.46 65.04°
Fractional positions:
Cd 0.0026 0.3513 0.6436
Cd 0.7160 0.7866 0.7815
Cd 0.3539 0.6487 0.6436
Cd 0.5000 0.0000 0.5000
Cd 0.4975 0.7866 0.2185
Cd 0.0000 0.0000 0.5000
Cd 0.2840 0.2134 0.2185
Cd 0.5025 0.2134 0.7815
Cd 0.9974 0.6487 0.3564
Cd 0.6461 0.3513 0.3564
Ac 0.0000 0.0000 0.0000
In 0.0000 0.5000 0.0000
In 0.5000 0.5000 0.0000



No. 10
The following is a DFT calculation (PBE-GGA) of crystalline AcCd6In2 at its relaxed geometry.

## Properties
- symmetry = C2/m
- calculated formation energy (eV/f.u.) = -0.7
- calculated density (g/cm3) = 7.686
- E_tot (eV/atom) = -1.75

Cell: 3.7373 8.7907 8.7907 Å, 60.76 77.83 77.83°
Fractional positions:
Cd 0.3248 0.0044 0.3542
Cd 0.6752 0.6458 0.9956
Cd 0.6752 0.9956 0.6458
Cd 0.5000 0.6684 0.3316
Cd 0.3248 0.3542 0.0044
Cd 0.5000 0.3316 0.6684
Ac 0.0000 0.0000 0.0000
In 0.1405 0.3598 0.3598
In 0.8595 0.6402 0.6402



Volume (Å³/atom)
36.58, 32.41, 24.32, 29.94, 30.56, 34.52, 31.59, 28.03, 24.77, 27.15